Material: RbCdRe2
Method: DFT, GGA-PBE
State: optimized geometry

Its formation energy from the elements is 1.628 eV/atom.

It has space group I-42d (No. 122), with a = 4.276 Å, b = 4.276 Å, c = 21.069 Å, α = 90.00°, β = 90.00° and γ = 90.00°. Symmetry generates all atoms from Rb at (0.000, 0.000, 0.000), Cd at (0.000, 0.000, 0.500) and Re at (0.146, 0.250, 0.625).

***

Material: Rb3CdRe
Method: DFT, GGA-PBE
State: optimized geometry

Its formation energy from the elements is 1.375 eV/atom.

It has space group Pm-3m (No. 221), with a = 6.706 Å, b = 6.706 Å, c = 6.706 Å, α = 90.00°, β = 90.00° and γ = 90.00°. Symmetry generates all atoms from Rb at (0.000, 0.000, 0.500), Cd at (0.500, 0.500, 0.500) and Re at (0.000, 0.000, 0.000).

***

Material: Rb2CdReS
Method: DFT, GGA-PBE
State: optimized geometry

For the formation energy from raw total energies, the calculation gives 0.34 eV per atom.

It has space group P4/mmm (No. 123), with a = 6.543 Å, b = 6.543 Å, c = 4.421 Å, α = 90.00°, β = 90.00° and γ = 90.00°. Symmetry generates all atoms from Rb at (0.000, 0.500, 0.000), Cd at (0.000, 0.000, 0.500), Re at (0.500, 0.500, 0.500) and S at (0.500, 0.500, 0.000).

***

Material: RbScCd2Re
Method: DFT, GGA-PBE
State: optimized geometry

Its formation energy from the elements is 2.135 eV/atom.

It has space group P4/mmm (No. 123), with a = 5.499 Å, b = 5.499 Å, c = 5.126 Å, α = 90.00°, β = 90.00° and γ = 90.00°. Symmetry generates all atoms from Rb at (0.000, 0.000, 0.000), Sc at (0.500, 0.500, 0.500), Cd at (0.000, 0.500, 0.000) and Re at (0.000, 0.000, 0.500).

***

Material: RbScCdRe2
Method: DFT, GGA-PBE
State: optimized geometry

Its formation energy from the elements is 1.810 eV/atom.

It has space group P4/mmm (No. 123), with a = 4.973 Å, b = 4.973 Å, c = 5.727 Å, α = 90.00°, β = 90.00° and γ = 90.00°. Symmetry generates all atoms from Rb at (0.000, 0.000, 0.000), Sc at (0.500, 0.500, 0.500), Cd at (0.500, 0.500, 0.000) and Re at (0.000, 0.500, 0.500).

***

Material: RbCdRe2Tc
Method: DFT, GGA-PBE
State: optimized geometry

Its formation energy from the elements is 1.948 eV/atom. For the energy above the lowest structure with this stoichiometry, the calculation gives 0 meV per atom.

It has space group P4/mmm (No. 123), with a = 4.742 Å, b = 4.742 Å, c = 6.172 Å, α = 90.00°, β = 90.00° and γ = 90.00°. Symmetry generates all atoms from Rb at (0.000, 0.000, 0.000), Cd at (0.500, 0.500, 0.000), Re at (0.000, 0.500, 0.500) and Tc at (0.000, 0.000, 0.500).

***

Material: RbCdRe2Tc
Method: DFT, GGA-PBE
State: optimized geometry

Its formation energy from the elements is 3.658 eV/atom. For the energy above the lowest structure with this stoichiometry, the calculation gives 1710 meV per atom.

It has space group P4/mmm (No. 123), with a = 4.778 Å, b = 4.778 Å, c = 4.698 Å, α = 90.00°, β = 90.00° and γ = 90.00°. Symmetry generates all atoms from Rb at (0.000, 0.000, 0.000), Cd at (0.500, 0.500, 0.500), Re at (0.000, 0.500, 0.000) and Tc at (0.000, 0.000, 0.500).

***

Material: RbCdRe2Tc
Method: DFT, GGA-PBE
State: optimized geometry

Its formation energy from the elements is 3.191 eV/atom. For the energy above the lowest structure with this stoichiometry, the calculation gives 1243 meV per atom.

It has space group P4/mmm (No. 123), with a = 5.111 Å, b = 5.111 Å, c = 5.648 Å, α = 90.00°, β = 90.00° and γ = 90.00°. Symmetry generates all atoms from Rb at (0.000, 0.000, 0.000), Cd at (0.000, 0.000, 0.500), Re at (0.000, 0.500, 0.500) and Tc at (0.500, 0.500, 0.000).

***

Material: Rb2CdReW
Method: DFT, GGA-PBE
State: optimized geometry

Its formation energy from the elements is 1.670 eV/atom.

It has space group P4/mmm (No. 123), with a = 6.887 Å, b = 6.887 Å, c = 4.620 Å, α = 90.00°, β = 90.00° and γ = 90.00°. Symmetry generates all atoms from Rb at (0.000, 0.500, 0.000), Cd at (0.000, 0.000, 0.500), Re at (0.500, 0.500, 0.500) and W at (0.500, 0.500, 0.000).

***

Material: RbCd2Rh
Method: DFT, GGA-PBE
State: optimized geometry

Its formation energy from the elements is 0.233 eV/atom. For the energy above the lowest structure with this stoichiometry, the calculation gives 0 meV per atom.

It has space group I4_1/amd (No. 141, origin choice 2), with a = 5.768 Å, b = 5.768 Å, c = 17.672 Å, α = 90.00°, β = 90.00° and γ = 90.00°. Symmetry generates all atoms from Rb at (0.000, 0.250, 0.375), Cd at (0.000, 0.000, 0.000) and Rh at (0.000, 0.250, 0.875).

***

Material: RbCd2Rh
Method: DFT, GGA-PBE
State: optimized geometry

Its formation energy from the elements is 0.430 eV/atom. For the energy above the lowest structure with this stoichiometry, the calculation gives 197 meV per atom.

It has space group Fm-3m (No. 225), with a = 7.323 Å, b = 7.323 Å, c = 7.323 Å, α = 90.00°, β = 90.00° and γ = 90.00°. Symmetry generates all atoms from Rb at (0.000, 0.000, 0.000), Cd at (0.250, 0.250, 0.250) and Rh at (0.000, 0.000, 0.500).

***

Material: Rb2Cd2Rh
Method: DFT, GGA-PBE
State: optimized geometry

Its formation energy from the elements is 0.182 eV/atom.

It has space group P4/mbm (No. 127), with a = 7.361 Å, b = 7.361 Å, c = 6.040 Å, α = 90.00°, β = 90.00° and γ = 90.00°. Symmetry generates all atoms from Rb at (0.175, 0.325, 0.000), Cd at (0.171, 0.671, 0.500) and Rh at (0.000, 0.000, 0.500).

***

Material: RbCd9Rh2
Method: DFT, GGA-PBE
State: optimized geometry

Its formation energy from the elements is -0.088 eV/atom.

It has space group I4_1/amd (No. 141, origin choice 2), with a = 11.884 Å, b = 11.884 Å, c = 7.720 Å, α = 90.00°, β = 90.00° and γ = 90.00°. Symmetry generates all atoms from Rb at (0.000, 0.250, 0.375), Cd at (0.000, 0.250, 0.875), Cd at (0.122, 0.048, 0.691) and Rh at (0.000, 0.000, 0.000).

***

Material: RbCd2SbRh
Method: DFT, GGA-PBE
State: optimized geometry

For the formation energy from raw total energies, the calculation gives -0.17 eV per atom.

It has space group P4/mmm (No. 123), with a = 5.356 Å, b = 5.356 Å, c = 5.099 Å, α = 90.00°, β = 90.00° and γ = 90.00°. Symmetry generates all atoms from Rb at (0.000, 0.000, 0.000), Cd at (0.000, 0.500, 0.500), Sb at (0.500, 0.500, 0.000) and Rh at (0.500, 0.500, 0.500).

***

Material: RbCd2RhSe
Method: DFT, GGA-PBE
State: optimized geometry

For the formation energy from raw total energies, the calculation gives 1.37 eV per atom.

It has space group P4/mmm (No. 123), with a = 6.210 Å, b = 6.210 Å, c = 5.074 Å, α = 90.00°, β = 90.00° and γ = 90.00°. Symmetry generates all atoms from Rb at (0.000, 0.000, 0.000), Cd at (0.000, 0.500, 0.000), Rh at (0.000, 0.000, 0.500) and Se at (0.500, 0.500, 0.500).

***

Material: RbSr2CdRh
Method: DFT, GGA-PBE
State: optimized geometry

Its formation energy from the elements is -0.103 eV/atom.

It has space group P4/mmm (No. 123), with a = 5.830 Å, b = 5.830 Å, c = 5.608 Å, α = 90.00°, β = 90.00° and γ = 90.00°. Symmetry generates all atoms from Rb at (0.000, 0.000, 0.000), Sr at (0.000, 0.500, 0.500), Cd at (0.500, 0.500, 0.000) and Rh at (0.500, 0.500, 0.500).

***

Material: RbTl2CdRh
Method: DFT, GGA-PBE
State: optimized geometry

Its formation energy from the elements is -0.113 eV/atom.

It has space group P4/mmm (No. 123), with a = 5.326 Å, b = 5.326 Å, c = 5.414 Å, α = 90.00°, β = 90.00° and γ = 90.00°. Symmetry generates all atoms from Rb at (0.000, 0.000, 0.000), Tl at (0.000, 0.500, 0.500), Cd at (0.500, 0.500, 0.000) and Rh at (0.500, 0.500, 0.500).

***

Material: RbTlCd2Rh
Method: DFT, GGA-PBE
State: optimized geometry

Its formation energy from the elements is -0.128 eV/atom.

It has space group P4/mmm (No. 123), with a = 5.362 Å, b = 5.362 Å, c = 5.279 Å, α = 90.00°, β = 90.00° and γ = 90.00°. Symmetry generates all atoms from Rb at (0.000, 0.000, 0.000), Tl at (0.500, 0.500, 0.000), Cd at (0.000, 0.500, 0.500) and Rh at (0.500, 0.500, 0.500).

***

Material: RbZn2CdRh
Method: DFT, GGA-PBE
State: optimized geometry

Its formation energy from the elements is -0.103 eV/atom. For the energy above the lowest structure with this stoichiometry, the calculation gives 0 meV per atom.

It has space group P4/mmm (No. 123), with a = 4.966 Å, b = 4.966 Å, c = 5.295 Å, α = 90.00°, β = 90.00° and γ = 90.00°. Symmetry generates all atoms from Rb at (0.000, 0.000, 0.000), Zn at (0.000, 0.500, 0.500), Cd at (0.500, 0.500, 0.000) and Rh at (0.500, 0.500, 0.500).

***

Material: RbZn2CdRh
Method: DFT, GGA-PBE
State: optimized geometry

Its formation energy from the elements is 0.578 eV/atom. For the energy above the lowest structure with this stoichiometry, the calculation gives 681 meV per atom.

It has space group P4/mmm (No. 123), with a = 5.169 Å, b = 5.169 Å, c = 5.266 Å, α = 90.00°, β = 90.00° and γ = 90.00°. Symmetry generates all atoms from Rb at (0.000, 0.000, 0.000), Zn at (0.000, 0.500, 0.500), Cd at (0.500, 0.500, 0.500) and Rh at (0.500, 0.500, 0.000).

***

Table of size of the total moment (μB per atom), in record order: 0.000 0.505 0.298 0.275 0.848 0.431 0.621 1.874 0.000 0.000 0.000 0.000 0.000 0.000 0.399 0.000 0.000 0.000 0.000 0.000